(1)
A plane-wave DFT calculation with PBE was carried out for a relaxed DySb crystal.

Lattice parameters (Å, degrees): 4.3827 4.3827 10.7263 90.00 90.00 120.00
Last column: nearest neighbours and their distance in Å.
Fractional coordinates of all 6 atoms:
Sb 0.0000 0.0000 0.0000  6 Dy 3.10
Sb 0.3333 0.6667 0.6666  6 Dy 3.10
Dy 0.0000 0.0000 0.5000  6 Sb 3.10
Sb 0.6667 0.3333 0.3334  6 Dy 3.10
Dy 0.6667 0.3333 0.8332  6 Sb 3.10
Dy 0.3333 0.6667 0.1668  6 Sb 3.10

---

(2)
A plane-wave DFT calculation with PBE was carried out for a relaxed LuBeReTe crystal.

Lattice parameters (Å, degrees): 4.7021 4.7021 4.7021 60.00 60.00 60.00
Last column: nearest neighbours and their distance in Å.
Fractional coordinates of all 4 atoms:
Be 0.7500 0.7500 0.7500  4 Te 2.88, 4 Re 2.88
Lu 0.2500 0.2500 0.2500  4 Re 2.88, 4 Te 2.88
Re 0.5000 0.5000 0.5000  4 Lu 2.88, 4 Be 2.88
Te 0.0000 0.0000 0.0000  4 Be 2.88, 4 Lu 2.88

---

(3)
A plane-wave DFT calculation with PBE was carried out for a relaxed NpBeP crystal.

Lattice parameters (Å, degrees): 8.1191 3.6613 6.3381 90.00 90.00 90.00
Last column: nearest neighbours and their distance in Å.
Fractional coordinates of all 12 atoms:
P 0.7500 0.2500 0.0834  3 Be 2.11
Be 0.2501 0.7500 0.5831  3 P 2.11
P 0.2500 0.2500 0.4166  3 Be 2.11
Be 0.7501 0.7500 0.9169  3 P 2.11
Np 0.0000 0.7500 0.2501  6 Be 2.93, 6 P 2.93
Be 0.2499 0.2500 0.0831  3 P 2.11
Np 0.5000 0.7500 0.2499  6 Be 2.93, 6 P 2.93
P 0.2500 0.7500 0.9166  3 Be 2.11
Be 0.7499 0.2500 0.4169  3 P 2.11
Np 0.0000 0.2500 0.7499  6 Be 2.93, 6 P 2.93
Np 0.5000 0.2500 0.7501  6 Be 2.93, 6 P 2.93
P 0.7500 0.7500 0.5834  3 Be 2.11

---

(4)
A plane-wave DFT calculation with PBE was carried out for a relaxed HfCo2Sb crystal.

Lattice parameters (Å, degrees): 4.4395 4.4395 4.4395 60.00 60.00 60.00
Last column: nearest neighbours and their distance in Å.
Fractional coordinates of all 4 atoms:
Co 0.0000 0.0000 0.0000  4 Co 2.72, 4 Hf 2.72
Hf 0.2500 0.2500 0.2500  4 Sb 2.72, 4 Co 2.72
Co 0.7500 0.7500 0.7500  4 Sb 2.72, 4 Co 2.72
Sb 0.5000 0.5000 0.5000  4 Co 2.72, 4 Hf 2.72

---

(5)
A plane-wave DFT calculation with PBE was carried out for a relaxed RbGePd crystal.

Lattice parameters (Å, degrees): 4.9651 4.9651 4.9651 60.00 60.00 60.00
Last column: nearest neighbours and their distance in Å.
Fractional coordinates of all 3 atoms:
Ge 0.0000 0.0000 0.0000  4 Rb 3.04, 4 Pd 3.04
Pd 0.2500 0.2500 0.2500  4 Ge 3.04
Rb 0.7500 0.7500 0.7500  4 Ge 3.04

---

(6)
A plane-wave DFT calculation with PBE was carried out for a relaxed Cu2Ag3 crystal.

Properties
- ΔE_f: 79 meV per atom

Lattice parameters (Å, degrees): 7.5132 7.5132 7.6163 104.53 104.53 21.90
Last column: nearest neighbours and their distance in Å.
Fractional coordinates of all 10 atoms:
Cu 0.2050 0.2050 0.1018  8 Ag 2.70-2.71, 3 Cu 2.85-2.86
Ag 0.2005 0.2005 0.5995  11 Ag 2.85-2.94, 1 Cu 2.87
Ag 0.8039 0.8039 0.3890  6 Cu 2.70-2.88, 6 Ag 2.77-2.95
Cu 0.4054 0.4054 0.1946  5 Cu 2.62-2.86, 7 Ag 2.70-2.78
Ag 0.9978 0.9978 0.5015  8 Ag 2.77-2.92, 4 Cu 2.78
Cu 0.4014 0.4014 0.7105  4 Cu 2.63-2.85, 8 Ag 2.76-2.88
Cu 0.9888 0.9888 0.9936  6 Cu 2.62-2.85, 5 Ag 2.65-2.71
Ag 0.5968 0.5968 0.8248  5 Cu 2.70-2.79, 7 Ag 2.85-2.95
Ag 0.5971 0.5971 0.2723  5 Cu 2.70-2.74, 7 Ag 2.85-2.95
Ag 0.8034 0.8034 0.9123  7 Cu 2.65-2.76, 5 Ag 2.85-2.95

---

Looking at E for the records above, in order, we have -33.0 -21.3 -95.3 -27.7 -9.1 -31.0 eV per cell.